1.
The following is a GGA-PBE calculation of a relaxed NdB2Rh3 crystal, from Alexandria via LeMat-Bulk.

```
NdB2Rh3
1.0
4.036 -3.964 0.000
4.036 3.964 0.000
0.000 0.000 5.430
Nd B Rh
2 4 6
Direct
0.154 0.846 0.750 Nd
0.846 0.154 0.250 Nd
0.290 0.290 0.000 B
0.290 0.290 0.500 B
0.710 0.710 0.000 B
0.710 0.710 0.500 B
0.025 0.369 0.750 Rh
0.369 0.025 0.250 Rh
0.458 0.542 0.250 Rh
0.542 0.458 0.750 Rh
0.631 0.975 0.750 Rh
0.975 0.631 0.250 Rh
```

Results
Spin magnetization, μB per formula unit: 0.00
Space-group type: Cmcm (63)
DFT formation energy, eV per atom: -0.4584
VASP energy, eV per atom: -7.155
Polymorph energy (0 for the lowest one), meV/atom: 203

2.
The following is a GGA-PBE calculation of a relaxed Ta2CoGeH crystal, from Alexandria via LeMat-Bulk.

```
Ta2CoGeH
1.0
4.090 0.000 0.000
0.000 4.090 0.000
0.000 0.000 3.784
Ta Co Ge H
2 1 1 1
Direct
0.000 0.500 0.000 Ta
0.500 0.000 0.000 Ta
0.000 0.000 0.500 Co
0.500 0.500 0.500 Ge
0.000 0.000 0.000 H
```

Results
Spin magnetization, μB per formula unit: 0.54
Space-group type: P4/mmm (123)
VASP energy, eV per atom: -7.859

3.
The following is a GGA-PBE calculation of a relaxed LaMgGa4 crystal, from Alexandria via LeMat-Bulk.

```
LaMgGa4
1.0
-2.232 3.488 4.407
2.232 -3.488 4.407
2.232 3.488 -4.407
La Mg Ga
1 1 4
Direct
0.000 0.000 0.000 La
0.500 0.500 0.000 Mg
0.028 0.711 0.316 Ga
0.395 0.711 0.684 Ga
0.605 0.289 0.316 Ga
0.972 0.289 0.684 Ga
```

Results
Spin magnetization, μB per formula unit: 0.00
Space-group type: Immm (71)
DFT formation energy, eV per atom: -0.3671
VASP energy, eV per atom: -3.472
Polymorph energy (0 for the lowest one), meV/atom: 25

4.
The following is a GGA-PBE calculation of a relaxed TaPF2 crystal, from Alexandria via LeMat-Bulk.

```
TaPF2
1.0
0.000 2.902 2.902
2.902 0.000 2.902
2.902 2.902 0.000
Ta P F
1 1 2
Direct
0.000 0.000 0.000 Ta
0.500 0.500 0.500 P
0.250 0.250 0.250 F
0.750 0.750 0.750 F
```

Results
Spin magnetization, μB per formula unit: 0.00
Space-group type: Fm-3m (225)
VASP energy, eV per atom: -5.845
Polymorph energy (0 for the lowest one), meV/atom: 620

5.
The following is a GGA-PBE calculation of a relaxed La5SmEr2Tm crystal, from Alexandria via LeMat-Bulk.

```
La5SmEr2Tm
1.0
2.749 -10.818 0.000
2.749 10.818 0.000
0.000 0.000 10.679
La Sm Er Tm
10 2 4 2
Direct
0.000 0.000 0.000 La
0.000 0.000 0.500 La
0.123 0.877 0.750 La
0.220 0.780 0.441 La
0.221 0.779 0.061 La
0.498 0.502 0.750 La
0.502 0.498 0.250 La
0.779 0.221 0.561 La
0.780 0.220 0.941 La
0.877 0.123 0.250 La
0.289 0.711 0.751 Sm
0.711 0.289 0.251 Sm
0.387 0.613 0.500 Er
0.388 0.612 0.000 Er
0.612 0.388 0.500 Er
0.613 0.387 0.000 Er
0.100 0.900 0.250 Tm
0.900 0.100 0.750 Tm
```

Results
Spin magnetization, μB per formula unit: 0.00
Space-group type: Cmc2_1 (36)
DFT formation energy, eV per atom: 0.1286
VASP energy, eV per atom: -4.644

6.
The following is a GGA-PBE calculation of a relaxed Li2AlIn crystal, from Alexandria via LeMat-Bulk.

```
Li2AlIn
1.0
0.000 3.009 4.054
2.949 0.000 4.054
2.949 3.009 0.000
Li Al In
2 1 1
Direct
0.250 0.250 0.250 Li
0.750 0.750 0.750 Li
0.000 0.000 0.000 Al
0.500 0.500 0.500 In
```

Results
Spin magnetization, μB per formula unit: 0.00
Space-group type: Fmmm (69)
DFT formation energy, eV per atom: -0.1667
VASP energy, eV per atom: -2.744

7.
The following is a GGA-PBE calculation of a relaxed Ce10Si5Ni crystal, from Alexandria via LeMat-Bulk.

```
Ce10Si5Ni
1.0
0.000 6.369 5.481
5.418 0.000 5.481
5.418 6.369 0.000
Ce Si Ni
10 5 1
Direct
0.002 0.344 0.305 Ce
0.154 0.846 0.154 Ce
0.161 0.686 0.839 Ce
0.194 0.510 0.490 Ce
0.344 0.002 0.349 Ce
0.510 0.194 0.806 Ce
0.651 0.695 0.656 Ce
0.686 0.161 0.314 Ce
0.695 0.651 0.998 Ce
0.846 0.154 0.846 Ce
0.064 0.294 0.936 Si
0.294 0.064 0.706 Si
0.425 0.425 0.075 Si
0.552 0.552 0.448 Si
0.925 0.925 0.575 Si
0.772 0.772 0.228 Ni
```

Results
Spin magnetization, μB per formula unit: 8.61
Space-group type: Fmm2 (42)
VASP energy, eV per atom: -6.249

8.
The following is a GGA-PBE calculation of a relaxed ErThHgRh crystal, from Alexandria via LeMat-Bulk.

```
ErThHgRh
1.0
0.000 3.636 3.636
3.636 0.000 3.636
3.636 3.636 0.000
Er Th Hg Rh
1 1 1 1
Direct
0.000 0.000 0.000 Er
0.500 0.500 0.500 Th
0.250 0.250 0.250 Hg
0.750 0.750 0.750 Rh
```

Results
Spin magnetization, μB per formula unit: 0.00
Space-group type: F-43m (216)
DFT formation energy, eV per atom: -0.4878
VASP energy, eV per atom: -5.397
Polymorph energy (0 for the lowest one), meV/atom: 99

9.
The following is a GGA-PBE calculation of a relaxed Co2H2Ru crystal, from Alexandria via LeMat-Bulk.

```
Co2H2Ru
1.0
5.650 0.000 0.000
0.000 5.650 0.000
0.000 0.000 2.674
Co H Ru
4 4 2
Direct
0.142 0.358 0.000 Co
0.358 0.858 0.000 Co
0.642 0.142 0.000 Co
0.858 0.642 0.000 Co
0.222 0.722 0.500 H
0.278 0.222 0.500 H
0.722 0.778 0.500 H
0.778 0.278 0.500 H
0.000 0.000 0.500 Ru
0.500 0.500 0.500 Ru
```

Results
Spin magnetization, μB per formula unit: 1.74
Space-group type: P4/mbm (127)
VASP energy, eV per atom: -5.709
Polymorph energy (0 for the lowest one), meV/atom: 88

10.
The following is a GGA-PBE calculation of a relaxed LiLaS3 crystal, from Alexandria via LeMat-Bulk.

```
LiLaS3
1.0
7.174 0.000 0.000
0.000 4.455 0.000
0.000 0.000 12.743
Li La S
4 4 12
Direct
0.102 0.250 0.128 Li
0.398 0.750 0.628 Li
0.602 0.250 0.372 Li
0.898 0.750 0.872 Li
0.150 0.750 0.337 La
0.350 0.250 0.837 La
0.650 0.750 0.163 La
0.850 0.250 0.663 La
0.083 0.750 0.095 S
0.110 0.750 0.728 S
0.177 0.250 0.501 S
0.323 0.750 0.001 S
0.390 0.250 0.228 S
0.417 0.250 0.595 S
0.583 0.750 0.405 S
0.610 0.750 0.772 S
0.677 0.250 0.999 S
0.823 0.750 0.499 S
0.890 0.250 0.272 S
0.917 0.250 0.905 S
```

Results
Spin magnetization, μB per formula unit: 0.00
Space-group type: Pnma (62)
VASP energy, eV per atom: -5.234
Polymorph energy (0 for the lowest one), meV/atom: 0

11.
The following is a GGA-PBE calculation of a relaxed BaBe2P crystal, from Alexandria via LeMat-Bulk.

```
BaBe2P
1.0
4.357 0.000 0.000
0.000 4.357 0.000
0.000 0.000 4.505
Ba Be P
1 2 1
Direct
0.000 0.000 0.000 Ba
0.000 0.500 0.500 Be
0.500 0.000 0.500 Be
0.500 0.500 0.000 P
```

Results
Spin magnetization, μB per formula unit: 0.00
Space-group type: P4/mmm (123)
DFT formation energy, eV per atom: 0.7510
VASP energy, eV per atom: -2.945

12.
The following is a GGA-PBE calculation of a relaxed PmNdSe2 crystal, from Alexandria via LeMat-Bulk.

```
PmNdSe2
1.0
0.000 3.644 3.644
3.644 0.000 3.644
3.644 3.644 0.000
Pm Nd Se
1 1 2
Direct
0.000 0.000 0.000 Pm
0.500 0.500 0.500 Nd
0.250 0.250 0.250 Se
0.750 0.750 0.750 Se
```

Results
Spin magnetization, μB per formula unit: 0.00
Space-group type: Fm-3m (225)
VASP energy, eV per atom: -5.749
Polymorph energy (0 for the lowest one), meV/atom: 210

13.
The following is a GGA-PBE calculation of a relaxed LiTaTe2 crystal, from Alexandria via LeMat-Bulk.

```
LiTaTe2
1.0
-3.214 3.214 6.292
3.214 -3.214 6.292
3.214 3.214 -6.292
Li Ta Te
2 2 4
Direct
0.000 0.000 0.000 Li
0.750 0.250 0.500 Li
0.250 0.750 0.500 Ta
0.500 0.500 0.000 Ta
0.136 0.625 0.011 Te
0.375 0.386 0.511 Te
0.614 0.125 0.989 Te
0.875 0.864 0.489 Te
```

Results
Spin magnetization, μB per formula unit: 1.99
Space-group type: I-42d (122)
VASP energy, eV per atom: -5.104

14.
The following is a GGA-PBE calculation of a relaxed CuBi2Sb crystal, from Alexandria via LeMat-Bulk.

```
CuBi2Sb
1.0
0.000 3.748 3.748
3.748 0.000 3.748
3.748 3.748 0.000
Cu Bi Sb
1 2 1
Direct
0.000 0.000 0.000 Cu
0.250 0.250 0.250 Bi
0.750 0.750 0.750 Bi
0.500 0.500 0.500 Sb
```

Results
Spin magnetization, μB per formula unit: 0.00
Space-group type: Fm-3m (225)
VASP energy, eV per atom: -3.637
Polymorph energy (0 for the lowest one), meV/atom: 201

15.
The following is a GGA-PBE calculation of a relaxed AlHSe2 crystal, from Alexandria via LeMat-Bulk.

```
AlHSe2
1.0
3.379 -6.463 0.000
3.379 6.463 0.000
-3.087 0.000 5.430
Al H Se
2 2 4
Direct
0.003 0.997 0.750 Al
0.997 0.003 0.250 Al
0.418 0.582 0.750 H
0.582 0.418 0.250 H
0.095 0.313 0.614 Se
0.313 0.095 0.114 Se
0.687 0.905 0.886 Se
0.905 0.687 0.386 Se
```

Results
Spin magnetization, μB per formula unit: 0.00
Space-group type: C2/c (15)
VASP energy, eV per atom: -4.011
Polymorph energy (0 for the lowest one), meV/atom: 53

16.
The following is a GGA-PBE calculation of a relaxed AgC3 crystal, from Alexandria via LeMat-Bulk.

```
AgC3
1.0
3.116 0.000 0.000
1.545 5.286 0.000
1.548 1.212 5.156
Ag C
1 3
Direct
0.000 0.000 0.000 Ag
0.000 0.304 0.696 C
0.000 0.500 0.500 C
0.000 0.696 0.304 C
```

Results
Spin magnetization, μB per formula unit: 0.00
Space-group type: P-1 (2)
DFT formation energy, eV per atom: 1.5940
VASP energy, eV per atom: -6.037
Polymorph energy (0 for the lowest one), meV/atom: 635

17.
The following is a GGA-PBE calculation of a relaxed Nd3PdN crystal, from Alexandria via LeMat-Bulk.

```
Nd3PdN
1.0
3.312 1.912 6.616
-3.312 1.912 6.616
0.000 -3.824 6.616
Nd Pd N
6 2 2
Direct
0.006 0.159 0.581 Nd
0.159 0.581 0.006 Nd
0.419 0.841 0.994 Nd
0.581 0.006 0.159 Nd
0.841 0.994 0.419 Nd
0.994 0.419 0.841 Nd
0.373 0.373 0.373 Pd
0.627 0.627 0.627 Pd
0.167 0.167 0.167 N
0.833 0.833 0.833 N
```

Results
Spin magnetization, μB per formula unit: 0.00
Space-group type: R32 (155)
VASP energy, eV per atom: -6.100
Polymorph energy (0 for the lowest one), meV/atom: 143

18.
The following is a GGA-PBE calculation of a relaxed LiCd2Cl crystal, from Alexandria via LeMat-Bulk.

```
LiCd2Cl
1.0
3.965 0.000 0.000
0.000 3.965 0.000
0.000 0.000 6.595
Li Cd Cl
1 2 1
Direct
0.000 0.000 0.000 Li
0.000 0.500 0.500 Cd
0.500 0.000 0.500 Cd
0.500 0.500 0.000 Cl
```

Results
Spin magnetization, μB per formula unit: 0.00
Space-group type: P4/mmm (123)
VASP energy, eV per atom: -1.948
Polymorph energy (0 for the lowest one), meV/atom: 132

19.
The following is a GGA-PBE calculation of a relaxed Pm2CrN4 crystal, from Alexandria via LeMat-Bulk.

```
Pm2CrN4
1.0
5.628 0.000 0.000
0.000 5.478 0.000
-2.169 0.000 6.580
Pm Cr N
4 2 8
Direct
0.208 0.250 0.035 Pm
0.277 0.250 0.563 Pm
0.723 0.750 0.437 Pm
0.792 0.750 0.965 Pm
0.235 0.750 0.796 Cr
0.765 0.250 0.204 Cr
0.030 0.504 0.737 N
0.030 0.996 0.737 N
0.398 0.750 0.053 N
0.440 0.750 0.651 N
0.560 0.250 0.349 N
0.602 0.250 0.947 N
0.970 0.004 0.263 N
0.970 0.496 0.263 N
```

Results
Spin magnetization, μB per formula unit: 0.00
Space-group type: P2_1/m (11)
VASP energy, eV per atom: -8.555
Polymorph energy (0 for the lowest one), meV/atom: 34

20.
The following is a GGA-PBE calculation of a relaxed TlCd2Pt crystal, from Alexandria via LeMat-Bulk.

```
TlCd2Pt
1.0
0.000 3.472 3.472
3.472 0.000 3.472
3.472 3.472 0.000
Tl Cd Pt
1 2 1
Direct
0.000 0.000 0.000 Tl
0.250 0.250 0.250 Cd
0.500 0.500 0.500 Cd
0.750 0.750 0.750 Pt
```

Results
Spin magnetization, μB per formula unit: 0.00
Space-group type: F-43m (216)
DFT formation energy, eV per atom: 0.0441
VASP energy, eV per atom: -2.515
Polymorph energy (0 for the lowest one), meV/atom: 200

21.
The following is a GGA-PBE calculation of a relaxed Ce4BiRu2 crystal, from Alexandria via LeMat-Bulk.

```
Ce4BiRu2
1.0
2.269 -6.130 0.000
2.269 6.130 0.000
0.000 0.000 13.386
Ce Bi Ru
8 2 4
Direct
0.000 0.000 0.000 Ce
0.000 0.000 0.500 Ce
0.271 0.729 0.609 Ce
0.271 0.729 0.891 Ce
0.409 0.591 0.250 Ce
0.591 0.409 0.750 Ce
0.729 0.271 0.109 Ce
0.729 0.271 0.391 Ce
0.107 0.893 0.250 Bi
0.893 0.107 0.750 Bi
0.392 0.608 0.053 Ru
0.392 0.608 0.447 Ru
0.608 0.392 0.553 Ru
0.608 0.392 0.947 Ru
```

Results
Spin magnetization, μB per formula unit: 2.21
Space-group type: Cmcm (63)
DFT formation energy, eV per atom: -0.4400
VASP energy, eV per atom: -7.035

22.
The following is a GGA-PBE calculation of a relaxed CaSbRh3 crystal, from Alexandria via LeMat-Bulk.

```
CaSbRh3
1.0
-2.759 3.767 4.545
2.759 -3.767 4.545
2.759 3.767 -4.545
Ca Sb Rh
2 2 6
Direct
0.255 0.005 0.250 Ca
0.745 0.995 0.750 Ca
0.000 0.500 0.500 Sb
0.500 0.500 0.000 Sb
0.051 0.301 0.750 Rh
0.305 0.000 0.805 Rh
0.305 0.500 0.305 Rh
0.695 0.000 0.195 Rh
0.695 0.500 0.695 Rh
0.949 0.699 0.250 Rh
```

Results
Spin magnetization, μB per formula unit: 0.00
Space-group type: Imma (74)
VASP energy, eV per atom: -6.018
Polymorph energy (0 for the lowest one), meV/atom: 0

23.
The following is a GGA-PBE calculation of a relaxed RbLiSn2I6 crystal, from Alexandria via LeMat-Bulk.

```
RbLiSn2I6
1.0
4.098 2.366 7.535
-4.098 2.366 7.535
0.000 -4.731 7.535
Rb Li Sn I
1 1 2 6
Direct
0.000 0.000 0.000 Rb
0.470 0.470 0.470 Li
0.286 0.286 0.286 Sn
0.802 0.802 0.802 Sn
0.076 0.646 0.461 I
0.219 0.543 0.892 I
0.461 0.076 0.646 I
0.543 0.892 0.219 I
0.646 0.461 0.076 I
0.892 0.219 0.543 I
```

Results
Spin magnetization, μB per formula unit: 0.00
Space-group type: R3 (146)
VASP energy, eV per atom: -2.829

24.
The following is a GGA-PBE calculation of a relaxed Ba5SrCd4 crystal, from Alexandria via LeMat-Bulk.

```
Ba5SrCd4
1.0
4.275 0.000 0.000
0.000 4.275 0.000
0.000 0.000 23.319
Ba Sr Cd
5 1 4
Direct
0.000 0.000 0.000 Ba
0.000 0.000 0.183 Ba
0.000 0.000 0.362 Ba
0.000 0.000 0.638 Ba
0.000 0.000 0.817 Ba
0.500 0.500 0.500 Sr
0.500 0.500 0.091 Cd
0.500 0.500 0.276 Cd
0.500 0.500 0.724 Cd
0.500 0.500 0.909 Cd
```

Results
Spin magnetization, μB per formula unit: 0.00
Space-group type: P4/mmm (123)
DFT formation energy, eV per atom: -0.2597
VASP energy, eV per atom: -1.755